(1)
Below is a relaxed AlHgOs2 crystal, with properties calculated at the GGA-PBE level.

Results
Symmetry ... No. 122
Energy of formation from the pure elements ... 0.702 eV/atom
N(E_F) ... 3.913 states/eV/cell
Total magnetic moment ... 0.00 μB/f.u.
Uncorrected energy ... -0.4354 Ry per atom

a b c (Å): 9.716 9.716 9.716
angles (deg): 156.11 156.11 34.04
Fractional positions:
Al1 0.000 0.000 0.000
Al2 0.750 0.250 0.500
Hg1 0.250 0.750 0.500
Hg2 0.500 0.500 0.000
Os1 0.032 0.625 0.907
Os2 0.375 0.282 0.407
Os3 0.718 0.125 0.093
Os4 0.875 0.968 0.593



(2)
Below is a relaxed K4CdSb crystal, with properties calculated at the GGA-PBE level.

Results
Symmetry ... No. 216
Raw formation energy ... 131.8 meV per atom
N(E_F) ... 1.936 states/eV/cell
Total magnetic moment ... 0.00 μB/f.u.
Uncorrected energy ... -0.1058 Ry per atom

a b c (Å): 7.110 7.110 7.110
angles (deg): 60.00 60.00 60.00
Fractional positions:
K1 0.124 0.124 0.124
K2 0.124 0.124 0.629
K3 0.124 0.629 0.124
K4 0.629 0.124 0.124
Cd1 0.500 0.500 0.500
Sb1 0.750 0.750 0.750



(3)
Below is a relaxed Nd5Y12Er2 crystal, with properties calculated at the GGA-PBE level.

Results
Symmetry ... No. 2
Energy of formation from the pure elements ... 0.056 eV/atom
N(E_F) ... 29.313 states/eV/cell
Total magnetic moment ... 0.00 μB/f.u.
Uncorrected energy ... -0.4235 Ry per atom

a b c (Å): 6.337 8.946 12.140
angles (deg): 70.25 79.85 78.24
Fractional positions:
Nd1 0.000 0.000 0.000
Nd2 0.220 0.328 0.009
Nd3 0.370 0.837 0.503
Nd4 0.630 0.163 0.497
Nd5 0.780 0.672 0.991
Y1 0.081 0.130 0.663
Y2 0.160 0.208 0.327
Y3 0.247 0.460 0.708
Y4 0.262 0.605 0.145
Y5 0.314 0.738 0.831
Y6 0.461 0.930 0.171
Y7 0.539 0.070 0.829
Y8 0.686 0.262 0.169
Y9 0.738 0.395 0.855
Y10 0.753 0.540 0.292
Y11 0.840 0.792 0.673
Y12 0.919 0.870 0.337
Er1 0.247 0.498 0.435
Er2 0.753 0.502 0.565



(4)
Below is a relaxed Rb5HgAu2 crystal, with properties calculated at the GGA-PBE level.

Results
Symmetry ... No. 140
Energy of formation from the pure elements ... -0.220 eV/atom
N(E_F) ... 9.298 states/eV/cell
Total magnetic moment ... 0.00 μB/f.u.
Uncorrected energy ... -0.1236 Ry per atom

a b c (Å): 10.907 10.907 10.907
angles (deg): 130.08 130.08 73.28
Fractional positions:
Rb1 0.000 0.000 0.000
Rb2 0.033 0.533 0.840
Rb3 0.194 0.033 0.500
Rb4 0.306 0.806 0.840
Rb5 0.467 0.306 0.500
Rb6 0.500 0.500 0.000
Rb7 0.533 0.694 0.500
Rb8 0.694 0.194 0.160
Rb9 0.806 0.967 0.500
Rb10 0.967 0.467 0.160
Hg1 0.250 0.250 0.000
Hg2 0.750 0.750 0.000
Au1 0.114 0.386 0.500
Au2 0.386 0.886 0.272
Au3 0.614 0.114 0.728
Au4 0.886 0.614 0.500



(5)
Below is a relaxed BaNaBi crystal, with properties calculated at the GGA-PBE level.

Results
Symmetry ... No. 71
Energy of formation from the pure elements ... -0.527 eV/atom
N(E_F) ... 1.661 states/eV/cell
Total magnetic moment ... 0.00 μB/f.u.
Uncorrected energy ... -0.2132 Ry per atom

a b c (Å): 7.101 7.101 7.101
angles (deg): 135.05 102.80 94.06
Fractional positions:
Ba1 0.228 0.000 0.228
Ba2 0.772 0.000 0.772
Na1 0.332 0.332 0.000
Na2 0.668 0.668 0.000
Bi1 0.188 0.688 0.500
Bi2 0.812 0.312 0.500



(6)
Below is a relaxed LiAgP2 crystal, with properties calculated at the GGA-PBE level.

Results
Symmetry ... No. 6
Energy of formation from the pure elements ... 0.030 eV/atom
N(E_F) ... 1.072 states/eV/cell
Total magnetic moment ... 0.00 μB/f.u.
Uncorrected energy ... -0.2841 Ry per atom

a b c (Å): 2.760 4.553 5.062
angles (deg): 90.00 90.08 90.00
Fractional positions:
Li1 0.000 0.000 0.000
Ag1 0.500 0.500 0.758
P1 0.501 0.500 0.249
P2 0.502 0.000 0.456



Which formula does entry 6 have?
LiAgP2